First-principles (PBE) data for a relaxed structure of Ho2Be3Cu17, as listed in the Alexandria database.

abc: 6.7098 6.7098 6.7098
angles: 84.05 84.05 84.05
Closest atoms and distances in Å follow each position.
Element x y z (fractional)
Ho1 0.3297 0.3297 0.3297  3 Be 2.59
Ho2 0.6703 0.6703 0.6703  3 Be 2.59
Be1 0.0000 0.5000 0.5000  4 Cu 2.06-2.11
Be2 0.5000 0.5000 0.0000  4 Cu 2.06-2.11
Be3 0.5000 0.0000 0.5000  4 Cu 2.06-2.11
Cu1 0.5000 0.0000 0.0000  10 Cu 2.50-2.74
Cu2 0.0000 0.0000 0.5000  10 Cu 2.50-2.74
Cu3 0.0000 0.5000 0.0000  10 Cu 2.50-2.74
Cu4 0.0000 0.7297 0.2703  1 Be 2.06
Cu5 0.7297 0.2703 0.0000  1 Be 2.06
Cu6 0.2703 0.0000 0.7297  1 Be 2.06
Cu7 0.2703 0.7297 0.0000  1 Be 2.06
Cu8 0.7297 0.0000 0.2703  1 Be 2.06
Cu9 0.0000 0.2703 0.7297  1 Be 2.06
Cu10 0.1679 0.6643 0.6643  1 Be 2.11
Cu11 0.6643 0.6643 0.1679  1 Be 2.11
Cu12 0.6643 0.1679 0.6643  1 Be 2.11
Cu13 0.8321 0.3357 0.3357  1 Be 2.11
Cu14 0.3357 0.3357 0.8321  1 Be 2.11
Cu15 0.3357 0.8321 0.3357  1 Be 2.11
Cu16 0.0971 0.0971 0.0971  13 Cu 2.48-2.76
Cu17 0.9029 0.9029 0.9029  13 Cu 2.48-2.76

Output
**Space-group type**: R-3m
**DOS(E_F)**: 11.7 states/eV/cell
**Total DFT energy (no corrections)**: -3.9900 eV/atom